Compound: NaCaNd
Source: Alexandria via LeMat-Bulk
Functional: PBE
Structure: optimized geometry

abc: 3.633 3.633 16.964
angles: 90.00 90.00 90.00
Space group I4mm (No. 107)
Inequivalent atoms, fractional coordinates:
1 Na 0.000 0.000 0.000
2 Ca 0.000 0.000 0.671
3 Nd 0.000 0.000 0.334

**E**: -15.29 eV for the cell shown
**M_tot**: 0.00 Bohr magnetons per cell
**Energy of formation**: 0.148 eV per atom
**ΔE to the lowest computed polymorph**: 0.115 eV per atom